Density functional theory data (PBE with a Hubbard U) for an optimized crystal structure of LiMnCuF6.

Cell: 4.610 4.610 9.617 Å, 90.00 90.00 90.00°
Site moments in Bohr magnetons follow the coordinates.
Fractional positions:
Li: 0.500 0.500 0.163  0.00
Li: 0.000 0.000 0.663  0.00
Mn: 0.500 0.500 0.831  3.90
Mn: 0.000 0.000 0.331  3.90
Cu: 0.500 0.500 0.501  0.71
Cu: 0.000 0.000 0.001  0.71
F: 0.204 0.796 0.496  0.08
F: 0.796 0.204 0.496  0.08
F: 0.296 0.296 0.996  0.08
F: 0.704 0.704 0.996  0.08
F: 0.200 0.800 0.172  0.06
F: 0.800 0.200 0.172  0.06
F: 0.300 0.300 0.672  0.06
F: 0.700 0.700 0.672  0.06
F: 0.787 0.213 0.834  0.00
F: 0.213 0.787 0.834  0.00
F: 0.713 0.713 0.334  0.00
F: 0.287 0.287 0.334  0.00

total DFT energy (no corrections)	-4.974	eV/atom
magnetization	10.00	Bohr magnetons per cell
space-group type	P4_2nm (102)
calculated volume	11.36	A^3/atom